No. 1
# Pr2NpPaN5 | the Alexandria database | PBE-GGA | relaxed
data_Pr2NpPaN5
_chemical_formula_sum 'Pr2 Np1 Pa1 N5'
_symmetry_space_group_name_H-M 'P 1'
_symmetry_Int_Tables_number 1
_cell_length_a 4.0719
_cell_length_b 4.0719
_cell_length_c 8.9525
_cell_angle_alpha 90.00
_cell_angle_beta 90.00
_cell_angle_gamma 90.00
loop_
_symmetry_equiv_pos_as_xyz
'x,y,z'
loop_
_atom_site_label
_atom_site_fract_x
_atom_site_fract_y
_atom_site_fract_z
_atom_site_occupancy
Pr1 0.5000 0.5000 0.2717 1
Pr2 0.5000 0.5000 0.7283 1
Np1 0.0000 0.0000 0.5000 1
Pa1 0.0000 0.0000 0.0000 1
N1 0.0000 0.5000 0.5000 1
N2 0.5000 0.0000 0.5000 1
N3 0.0000 0.0000 0.7675 1
N4 0.0000 0.0000 0.2325 1
N5 0.5000 0.5000 0.0000 1
# DOS(E_F) (states/eV/cell): 7.32
# Crystal system: tetragonal
# Uncorrected formation energy (meV per atom): -1160

=====

No. 2
# NpPa2PtN5 | the Alexandria database | PBE-GGA | relaxed
data_NpPa2PtN5
_chemical_formula_sum 'Np2 Pa4 Pt2 N10'
_symmetry_space_group_name_H-M 'P 1'
_symmetry_Int_Tables_number 1
_cell_length_a 3.3566
_cell_length_b 6.9230
_cell_length_c 10.6472
_cell_angle_alpha 90.00
_cell_angle_beta 90.00
_cell_angle_gamma 104.03
loop_
_symmetry_equiv_pos_as_xyz
'x,y,z'
loop_
_atom_site_label
_atom_site_fract_x
_atom_site_fract_y
_atom_site_fract_z
_atom_site_occupancy
Np1 0.8141 0.6281 0.4983 1
Np2 0.1859 0.3719 0.9983 1
Pa1 0.8667 0.7335 0.7985 1
Pa2 0.1213 0.2426 0.6890 1
Pa3 0.1333 0.2665 0.2985 1
Pa4 0.8787 0.7574 0.1890 1
Pt1 0.5019 0.0039 0.9804 1
Pt2 0.4981 0.9961 0.4804 1
N1 0.3388 0.6776 0.9954 1
N2 0.6980 0.3960 0.8328 1
N3 0.4931 0.9861 0.7825 1
N4 0.2924 0.5849 0.6538 1
N5 0.9623 0.9245 0.5933 1
N6 0.6612 0.3224 0.4954 1
N7 0.3020 0.6040 0.3328 1
N8 0.5069 0.0139 0.2825 1
N9 0.7076 0.4151 0.1538 1
N10 0.0377 0.0755 0.0933 1
# DOS(E_F) (states/eV/cell): 16.89
# Crystal system: orthorhombic
# Uncorrected formation energy (meV per atom): -940

=====

No. 3
# PuNpPa2N6 | the Alexandria database | PBE-GGA | relaxed
data_PuNpPa2N6
_chemical_formula_sum 'Pu1 Np1 Pa2 N6'
_symmetry_space_group_name_H-M 'P 1'
_symmetry_Int_Tables_number 1
_cell_length_a 5.9819
_cell_length_b 5.9819
_cell_length_c 5.9725
_cell_angle_alpha 59.95
_cell_angle_beta 59.95
_cell_angle_gamma 60.00
loop_
_symmetry_equiv_pos_as_xyz
'x,y,z'
loop_
_atom_site_label
_atom_site_fract_x
_atom_site_fract_y
_atom_site_fract_z
_atom_site_occupancy
Pu1 0.7995 0.7995 0.6014 1
Np1 0.3073 0.3073 0.0780 1
Pa1 0.5289 0.5289 0.4133 1
Pa2 0.0259 0.0259 0.9224 1
N1 0.6255 0.2071 0.2433 1
N2 0.2071 0.9240 0.2433 1
N3 0.9240 0.6255 0.2433 1
N4 0.4049 0.6954 0.7567 1
N5 0.6954 0.1430 0.7567 1
N6 0.1430 0.4049 0.7567 1
# DOS(E_F) (states/eV/cell): 16.27
# Crystal system: trigonal
# Uncorrected formation energy (meV per atom): -1323

=====

No. 4
# Pu2Np3PaN6 | the Alexandria database | PBE-GGA | relaxed
data_Pu2Np3PaN6
_chemical_formula_sum 'Pu2 Np3 Pa1 N6'
_symmetry_space_group_name_H-M 'P 1'
_symmetry_Int_Tables_number 1
_cell_length_a 5.9920
_cell_length_b 5.9920
_cell_length_c 6.0132
_cell_angle_alpha 99.65
_cell_angle_beta 99.65
_cell_angle_gamma 119.92
loop_
_symmetry_equiv_pos_as_xyz
'x,y,z'
loop_
_atom_site_label
_atom_site_fract_x
_atom_site_fract_y
_atom_site_fract_z
_atom_site_occupancy
Pu1 0.3336 0.6664 0.0000 1
Pu2 0.6664 0.3336 0.0000 1
Np1 0.1682 0.8318 0.5000 1
Np2 0.8318 0.1682 0.5000 1
Np3 0.5000 0.5000 0.5000 1
Pa1 0.0000 0.0000 0.0000 1
N1 0.9132 0.5853 0.7447 1
N2 0.7568 0.7568 0.2578 1
N3 0.0868 0.4147 0.2553 1
N4 0.5853 0.9132 0.7447 1
N5 0.2432 0.2432 0.7422 1
N6 0.4147 0.0868 0.2553 1
# DOS(E_F) (states/eV/cell): 28.79
# Crystal system: monoclinic
# Uncorrected formation energy (meV per atom): -1211